Entry 1:
Computed, not measured: a geometry-optimized Na3Ag2HPd3 structure at the PBE level of DFT.

Lattice parameters (Å, degrees): 7.4779 7.4779 3.0826 90.00 90.00 120.00
Positions (direct):
Na  0.0000  0.6219  0.0000
Na  0.3781  0.3781  0.0000
Na  0.6219  0.0000  0.0000
Ag  0.3333  0.6667  0.5000
Ag  0.6667  0.3333  0.5000
H  0.0000  0.0000  0.0000
Pd  0.0000  0.2186  0.5000
Pd  0.2186  0.0000  0.5000
Pd  0.7814  0.7814  0.5000

Values from the calculation:
Crystal system: hexagonal
V (A^3/atom): 16.59
DFT total energy (eV/atom): -3.110
SG: P-62m, No. 189

---

Entry 2:
Computed, not measured: a geometry-optimized NaAgHPt2 structure at the PBE level of DFT.

Lattice parameters (Å, degrees): 3.9893 3.9893 4.4452 90.00 90.00 90.00
Positions (direct):
Na  0.0000  0.0000  0.0000
Ag  0.5000  0.5000  0.0000
H  0.5000  0.5000  0.5000
Pt  0.0000  0.5000  0.5000
Pt  0.5000  0.0000  0.5000

Values from the calculation:
Crystal system: tetragonal
V (A^3/atom): 14.15
Relative energy among the computed polymorphs (eV/f.u.): 0.33
SG: P4/mmm, No. 123

---

Entry 3:
Computed, not measured: a geometry-optimized Na2AgH6Pt structure at the PBE level of DFT.

Lattice parameters (Å, degrees): 5.0718 5.0718 5.3807 90.00 90.00 120.00
Positions (direct):
Na  0.3333  0.6667  0.2091
Na  0.6667  0.3333  0.7909
Ag  0.0000  0.0000  0.5000
H  0.1585  0.3171  0.8152
H  0.1585  0.8415  0.8152
H  0.3171  0.1585  0.1848
H  0.6829  0.8415  0.8152
H  0.8415  0.1585  0.1848
H  0.8415  0.6829  0.1848
Pt  0.0000  0.0000  0.0000

Values from the calculation:
Crystal system: trigonal
V (A^3/atom): 11.99
DFT total energy (eV/atom): -3.304
SG: P-3m1, No. 164

---

Entry 4:
Computed, not measured: a geometry-optimized Na3AgH8Pt2 structure at the PBE level of DFT.

Lattice parameters (Å, degrees): 5.0979 5.0979 6.8449 90.00 90.00 120.00
Positions (direct):
Na  0.0000  0.0000  0.0000
Na  0.3333  0.6667  0.6403
Na  0.6667  0.3333  0.3597
Ag  0.0000  0.0000  0.5000
H  0.1755  0.3510  0.3246
H  0.1755  0.8245  0.3246
H  0.3333  0.6667  0.9401
H  0.3510  0.1755  0.6754
H  0.6490  0.8245  0.3246
H  0.6667  0.3333  0.0599
H  0.8245  0.1755  0.6754
H  0.8245  0.6490  0.6754
Pt  0.3333  0.6667  0.1800
Pt  0.6667  0.3333  0.8200

Values from the calculation:
Crystal system: trigonal
V (A^3/atom): 11.00
DFT total energy (eV/atom): -3.319
SG: P-3m1, No. 164